(P)
{"formula": "Na3AsRh", "functional": "GGA-PBE", "state": "optimized geometry", "vol_a3_per_atom": 28.36, "cell": [[-1.167, 4.966, 1.084], [-1.088, -1.330, 4.923], [4.965, 0.876, 1.334]], "species": ["Na", "Na", "Na", "Rh", "As"], "frac_coords": [[0.000, 0.000, 0.500], [0.500, 0.000, 0.000], [0.000, 0.500, 0.000], [0.000, 0.000, 0.000], [0.500, 0.500, 0.500]]}

=====

(Q)
{"formula": "Na3AsRh", "functional": "GGA-PBE", "state": "optimized geometry", "vol_a3_per_atom": 31.71, "cell": [[5.412, 0.000, 0.000], [0.000, 5.412, 0.000], [0.000, 0.000, 5.412]], "species": ["Na", "Na", "Na", "Rh", "As"], "frac_coords": [[0.500, 0.000, 0.000], [0.000, 0.000, 0.500], [0.000, 0.500, 0.000], [0.500, 0.500, 0.500], [0.000, 0.000, 0.000]]}

=====

Out of the structures above, which one is the least stable? Solution: (P).